[1]
This record from Alexandria describes a relaxed structure of Cu2Ni8Pt. The functional is PBE. Values from VASP.

Geometry as Quantum ESPRESSO input:
```
&SYSTEM
  ibrav = 0, nat = 11, ntyp = 3
/
ATOMIC_SPECIES
Cu 63.55 Cu.upf
Ni 58.69 Ni.upf
Pt 195.08 Pt.upf
CELL_PARAMETERS angstrom
3.2654 -6.2286 0.0000
3.2654 6.2286 0.0000
-2.8379 0.0000 3.2483
ATOMIC_POSITIONS crystal
Cu 0.1845 0.8155 0.0000
Cu 0.8155 0.1845 0.0000
Ni 0.0025 0.0025 0.7580
Ni 0.1321 0.3981 0.7627
Ni 0.2971 0.7029 0.5000
Ni 0.3981 0.1321 0.7627
Ni 0.6019 0.8679 0.2373
Ni 0.7029 0.2971 0.5000
Ni 0.8679 0.6019 0.2373
Ni 0.9975 0.9975 0.2420
Pt 0.5000 0.5000 0.5000
```

Values from the calculation:
Space-group type   C2/m (12)
Calculated volume   12.01 Å³ per atom
DFT formation energy   18.4 kJ per mole of atoms

---

[2]
This record from Alexandria describes a relaxed structure of Cu2Ni2Pt. The functional is PBE. Values from VASP.

Geometry as Quantum ESPRESSO input:
```
&SYSTEM
  ibrav = 0, nat = 10, ntyp = 3
/
ATOMIC_SPECIES
Cu 63.55 Cu.upf
Ni 58.69 Ni.upf
Pt 195.08 Pt.upf
CELL_PARAMETERS angstrom
6.7453 0.0000 0.0000
0.0000 6.7453 0.0000
0.0000 0.0000 2.7521
ATOMIC_POSITIONS crystal
Cu 0.1716 0.3284 0.0000
Cu 0.3284 0.8284 0.0000
Cu 0.6716 0.1716 0.0000
Cu 0.8284 0.6716 0.0000
Ni 0.1249 0.6249 0.5000
Ni 0.3751 0.1249 0.5000
Ni 0.6249 0.8751 0.5000
Ni 0.8751 0.3751 0.5000
Pt 0.0000 0.0000 0.5000
Pt 0.5000 0.5000 0.5000
```

Values from the calculation:
Space-group type   P4/mbm (127)
Energy above the lowest structure with this stoichiometry   107 meV/atom
Calculated volume   12.52 Å³ per atom
DFT formation energy   12.1 kJ per mole of atoms

---

[3]
This record from Alexandria describes a relaxed structure of Cu2Ni3Pt. The functional is PBE. Values from VASP.

Geometry as Quantum ESPRESSO input:
```
&SYSTEM
  ibrav = 0, nat = 12, ntyp = 3
/
ATOMIC_SPECIES
Cu 63.55 Cu.upf
Ni 58.69 Ni.upf
Pt 195.08 Pt.upf
CELL_PARAMETERS angstrom
4.4511 0.0000 0.0000
1.4993 5.5852 0.0000
0.0367 2.3675 5.8430
ATOMIC_POSITIONS crystal
Cu 0.0779 0.2485 0.0798
Cu 0.1673 0.4907 0.6759
Cu 0.8327 0.5093 0.3241
Cu 0.9221 0.7515 0.9202
Ni 0.0000 0.0000 0.5000
Ni 0.2461 0.7594 0.2412
Ni 0.3340 0.9956 0.8416
Ni 0.5000 0.5000 0.0000
Ni 0.6660 0.0044 0.1584
Ni 0.7539 0.2406 0.7588
Pt 0.4170 0.2572 0.4131
Pt 0.5830 0.7428 0.5869
```

Values from the calculation:
Space-group type   P-1 (2)
Calculated volume   12.10 Å³ per atom
DFT formation energy   -2.2 kJ per mole of atoms

---

[4]
This record from Alexandria describes a relaxed structure of Cu4NiPt. The functional is PBE. Values from VASP.

Geometry as Quantum ESPRESSO input:
```
&SYSTEM
  ibrav = 0, nat = 6, ntyp = 3
/
ATOMIC_SPECIES
Cu 63.55 Cu.upf
Ni 58.69 Ni.upf
Pt 195.08 Pt.upf
CELL_PARAMETERS angstrom
0.0000 3.3517 3.3517
3.3517 0.0000 3.3517
3.3517 3.3517 0.0000
ATOMIC_POSITIONS crystal
Cu 0.1248 0.1248 0.1248
Cu 0.1248 0.1248 0.6255
Cu 0.1248 0.6255 0.1248
Cu 0.6255 0.1248 0.1248
Ni 0.7500 0.7500 0.7500
Pt 0.5000 0.5000 0.5000
```

Values from the calculation:
Space-group type   F-43m (216)
Energy above the lowest structure with this stoichiometry   0 meV/atom
Calculated volume   12.55 Å³ per atom
DFT formation energy   5.9 kJ per mole of atoms

---

[5]
This record from Alexandria describes a relaxed structure of CuNi4Pt7. The functional is PBE. Values from VASP.

Geometry as Quantum ESPRESSO input:
```
&SYSTEM
  ibrav = 0, nat = 12, ntyp = 3
/
ATOMIC_SPECIES
Cu 63.55 Cu.upf
Ni 58.69 Ni.upf
Pt 195.08 Pt.upf
CELL_PARAMETERS angstrom
4.9164 -2.3357 0.0000
4.9164 2.3357 0.0000
-4.6915 0.0000 7.9570
ATOMIC_POSITIONS crystal
Cu 0.0000 0.0000 0.0000
Ni 0.2755 0.2755 0.6889
Ni 0.4284 0.4284 0.2306
Ni 0.5717 0.5717 0.7694
Ni 0.7245 0.7245 0.3111
Pt 0.0441 0.0441 0.3788
Pt 0.2047 0.2047 0.9197
Pt 0.3441 0.3441 0.4505
Pt 0.5000 0.5000 0.0000
Pt 0.6559 0.6559 0.5495
Pt 0.7953 0.7953 0.0803
Pt 0.9559 0.9559 0.6212
```

Values from the calculation:
Space-group type   C2/m (12)
Calculated volume   15.23 Å³ per atom
DFT formation energy   19.8 kJ per mole of atoms

---

[6]
This record from Alexandria describes a relaxed structure of Cu2Ni7Pt2. The functional is PBE. Values from VASP.

Geometry as Quantum ESPRESSO input:
```
&SYSTEM
  ibrav = 0, nat = 11, ntyp = 3
/
ATOMIC_SPECIES
Cu 63.55 Cu.upf
Ni 58.69 Ni.upf
Pt 195.08 Pt.upf
CELL_PARAMETERS angstrom
4.4349 -3.7034 0.0000
4.4349 3.7034 0.0000
-0.9530 0.0000 4.2576
ATOMIC_POSITIONS crystal
Cu 0.2502 0.2502 0.2458
Cu 0.7498 0.7498 0.7542
Ni 0.0000 0.0000 0.5000
Ni 0.0610 0.4032 0.7365
Ni 0.4032 0.0610 0.7365
Ni 0.4617 0.4617 0.7276
Ni 0.5383 0.5383 0.2724
Ni 0.5968 0.9390 0.2635
Ni 0.9390 0.5968 0.2635
Pt 0.1912 0.8088 0.0000
Pt 0.8088 0.1912 0.0000
```

Values from the calculation:
Space-group type   C2/m (12)
Energy above the lowest structure with this stoichiometry   54 meV/atom
Calculated volume   12.71 Å³ per atom
DFT formation energy   16.3 kJ per mole of atoms

---

Q: Look up the calculated volume of the first one.
A: 12.01 Å³ per atom

---

Q: Number 6 is which compound?
A: Cu2Ni7Pt2

---

Q: Number 2 is which compound?
A: Cu2Ni2Pt